Sm4SiI5 | PBE-GGA | optimized geometry

E_form (uncorrected) (eV/atom): -1.191
Distance to the lowest polymorph of the same formula (meV/atom): 31
Crystal system: monoclinic

Cell lengths 4.2732, 8.9338, 10.7611 Å; angles 89.63, 101.45, 90.00 degrees
Fractional positions:
I 0.1536 0.7455 0.3072
I 0.8464 0.2545 0.6928
I 0.8462 0.7501 0.6923
I 0.1538 0.2499 0.3077
I 0.5000 0.5000 0.0000
Sm 0.0000 0.7870 0.9999
Sm 0.6294 0.9980 0.2588
Sm 0.0000 0.2130 0.0001
Sm 0.3706 0.0020 0.7412
Si 0.5000 0.0000 0.0000

LaMgOs | PBE-GGA | optimized geometry

DFT formation energy (meV/atom): 439
Crystal system: trigonal

Cell lengths 3.4039, 3.4039, 7.0996 Å; angles 90.00, 90.00, 120.00 degrees
Fractional positions:
Mg 0.3333 0.6667 0.3903
La 0.0000 0.0000 0.9484
Os 0.6667 0.3333 0.6612

TiTl2F6 | PBE-GGA | optimized geometry

E_form (uncorrected) (eV/atom): -2.755
Crystal system: trigonal

Cell lengths 5.0839, 6.3005, 6.3005 Å; angles 120.00, 90.00, 90.00 degrees
Fractional positions:
F 0.2123 0.7516 0.7516
F 0.2123 0.2484 0.0000
F 0.7877 0.0000 0.7516
F 0.2123 0.0000 0.2484
F 0.7877 0.7516 0.0000
F 0.7877 0.2484 0.2484
Ti 0.0000 0.0000 0.0000
Tl 0.5000 0.6667 0.3333
Tl 0.5000 0.3333 0.6667